The following is a DFT calculation (PBE-GGA) of crystalline ZnInGaSeS3 at its relaxed geometry.

## Properties
The total energy is -27.56 eV per formula unit. As for the crystal system: triclinic.

a = 5.5933 Å, b = 5.6099 Å, c = 6.5968 Å
α = 114.34°, β = 114.26°, γ = 90.81°
Fractional positions:
Zn: 0.0000 0.0000 0.0000
In: 0.4917 0.5112 0.0030
Ga: 0.2552 0.7672 0.5099
Se: 0.8873 0.3773 0.2877
S: 0.1054 0.1123 0.7338
S: 0.3717 0.9046 0.2711
S: 0.6209 0.6379 0.7338